{
  "formula": "CeHfSb3",
  "functional": "GGA-PBE",
  "state": "relaxed",
  "magnetic_moment_mub_per_cell": 3.15,
  "final_energy_ev_per_atom": -6.312,
  "raw_formation_energy_kj_per_mol_atoms": -63.8,
  "lattice": [[13.415, 0.000, 0.000], [0.000, 6.403, 0.000], [0.000, 0.000, 6.349]],
  "species": ["Ce", "Ce", "Ce", "Ce", "Hf", "Hf", "Hf", "Hf", "Sb", "Sb", "Sb", "Sb", "Sb", "Sb", "Sb", "Sb", "Sb", "Sb", "Sb", "Sb"],
  "frac_coords": [[0.181, 0.010, 0.250], [0.181, 0.490, 0.750], [0.819, 0.510, 0.250], [0.819, 0.990, 0.750], [0.411, 0.750, 0.000], [0.411, 0.750, 0.500], [0.589, 0.250, 0.000], [0.589, 0.250, 0.500], [0.002, 0.750, 0.000], [0.002, 0.750, 0.500], [0.260, 0.513, 0.250], [0.260, 0.987, 0.750], [0.418, 0.123, 0.250], [0.418, 0.377, 0.750], [0.582, 0.623, 0.250], [0.582, 0.877, 0.750], [0.740, 0.013, 0.250], [0.740, 0.487, 0.750], [0.998, 0.250, 0.000], [0.998, 0.250, 0.500]]
}